#w
Compound: TbY3Er4
Source: the Alexandria database
Functional: PBE-GGA
Structure: optimized geometry

The total magnetization comes out at 0.00 μB/f.u.

The space group is Pmn2_1 (No. 31) and the conventional cell measures 11.1969, 7.2468 and 6.2609 Å, with angles of 90.00, 90.00 and 90.00 degrees. The asymmetric unit holds Tb at (0.0000, 0.1275, 0.0000), Y at (0.0000, 0.8735, 0.4995), Y at (0.2503, 0.1268, 0.3358), Er at (0.0000, 0.3768, 0.5034), Er at (0.0000, 0.6226, 0.0032) and Er at (0.2498, 0.3769, 0.8345).

#x
Compound: TbY3Er4
Source: the Alexandria database
Functional: PBE-GGA
Structure: optimized geometry

The total magnetization comes out at 0.00 μB/f.u.

The space group is C2/m (No. 12) and the conventional cell measures 23.4098, 3.4644 and 6.6185 Å, with angles of 90.00, 106.41 and 90.00 degrees. The asymmetric unit holds Tb at (0.0000, 0.0000, 0.0000), Y at (0.0000, 0.5000, 0.5000), Y at (0.1260, 0.5000, 0.8806), Er at (0.1250, 0.5000, 0.3676) and Er at (0.2393, 0.0000, 0.2434).

The structure with the least stability is #x.